(1)
SrAlTl | Alexandria | PBE | relaxed; energy of formation = -0.22 eV/atom; E = -8.4 eV per cell; density of states at the Fermi level = 1.51 states/eV/f.u.; size of the total moment = 0.0 μB per cell
1.0
4.883 0.000 0.000
-2.441 4.229 0.000
0.000 0.000 4.219
Sr Al Tl
1 1 1
Cartesian
0.000 0.000 0.000
0.000 2.819 2.109
2.441 1.410 2.109

(2)
GdTmGa2 | Alexandria | PBE | relaxed; energy of formation = -0.58 eV/atom; distance to the lowest polymorph of the same formula = 0.000 eV per atom; E = -26.9 eV per cell; density of states at the Fermi level = 2.17 states/eV/f.u.; size of the total moment = 7.2 μB per cell
1.0
3.553 0.000 0.000
0.000 3.553 0.000
0.000 0.000 7.195
Gd Tm Ga
1 1 2
Cartesian
0.000 0.000 0.000
0.000 0.000 3.598
1.776 1.776 1.875
1.776 1.776 5.320